DFT (GGA-PBE) results for a geometry-optimized LuTh2Hg structure.

Values from the calculation:
Its space group is P4/mmm (123). The total DFT energy (no corrections) is -4.984 eV per atom. Its total magnetization is 0.00 μB/cell. The calculation puts the energy of formation from the pure elements at -0.069 eV per atom.

```
data_LuTh2Hg
_chemical_formula_sum 'Lu1 Th2 Hg1'
_cell_length_a 4.774
_cell_length_b 4.774
_cell_length_c 5.015
_cell_angle_alpha 90.00
_cell_angle_beta 90.00
_cell_angle_gamma 90.00
_symmetry_space_group_name_H-M 'P 1'
_symmetry_Int_Tables_number 1
loop_
_symmetry_equiv_pos_as_xyz
'x,y,z'
loop_
_atom_site_label
_atom_site_type_symbol
_atom_site_fract_x
_atom_site_fract_y
_atom_site_fract_z
_atom_site_occupancy
Lu1 Lu 0.000 0.000 0.000 1
Th1 Th 0.000 0.500 0.500 1
Th2 Th 0.500 0.000 0.500 1
Hg1 Hg 0.500 0.500 0.000 1
```

=====

DFT (GGA-PBE) results for a geometry-optimized KBeZn structure.

Values from the calculation:
Its space group is F-43m (216). The total DFT energy (no corrections) is -0.858 eV per atom. Its total magnetization is 0.00 μB/cell. The calculation puts the energy of formation from the pure elements at 1.175 eV per atom.

```
data_KBeZn
_chemical_formula_sum 'K4 Be4 Zn4'
_cell_length_a 7.526
_cell_length_b 7.526
_cell_length_c 7.526
_cell_angle_alpha 90.00
_cell_angle_beta 90.00
_cell_angle_gamma 90.00
_symmetry_space_group_name_H-M 'P 1'
_symmetry_Int_Tables_number 1
loop_
_symmetry_equiv_pos_as_xyz
'x,y,z'
loop_
_atom_site_label
_atom_site_type_symbol
_atom_site_fract_x
_atom_site_fract_y
_atom_site_fract_z
_atom_site_occupancy
K1 K 0.000 0.000 0.000 1
K2 K 0.000 0.500 0.500 1
K3 K 0.500 0.000 0.500 1
K4 K 0.500 0.500 0.000 1
Be1 Be 0.250 0.250 0.250 1
Be2 Be 0.250 0.750 0.750 1
Be3 Be 0.750 0.250 0.750 1
Be4 Be 0.750 0.750 0.250 1
Zn1 Zn 0.250 0.250 0.750 1
Zn2 Zn 0.250 0.750 0.250 1
Zn3 Zn 0.750 0.250 0.250 1
Zn4 Zn 0.750 0.750 0.750 1
```

=====

DFT (GGA-PBE) results for a geometry-optimized ZrScCdP2 structure.

Values from the calculation:
Its space group is P4/mmm (123). The total DFT energy (no corrections) is -4.927 eV per atom. Its total magnetization is 0.00 μB/cell. The calculation puts the energy of formation from the pure elements at 0.396 eV per atom.

```
data_ZrScCdP2
_chemical_formula_sum 'Zr1 Sc1 Cd1 P2'
_cell_length_a 4.990
_cell_length_b 4.990
_cell_length_c 5.487
_cell_angle_alpha 90.00
_cell_angle_beta 90.00
_cell_angle_gamma 90.00
_symmetry_space_group_name_H-M 'P 1'
_symmetry_Int_Tables_number 1
loop_
_symmetry_equiv_pos_as_xyz
'x,y,z'
loop_
_atom_site_label
_atom_site_type_symbol
_atom_site_fract_x
_atom_site_fract_y
_atom_site_fract_z
_atom_site_occupancy
Zr1 Zr 0.000 0.000 0.000 1
Sc1 Sc 0.000 0.000 0.500 1
Cd1 Cd 0.500 0.500 0.500 1
P1 P 0.000 0.500 0.000 1
P2 P 0.500 0.000 0.000 1
```

=====

DFT (GGA-PBE) results for a geometry-optimized ErGa9Ir2 structure.

Values from the calculation:
Its space group is P-1 (2). The total DFT energy (no corrections) is -4.414 eV per atom. Its total magnetization is 0.00 μB/cell. The calculation puts the energy of formation from the pure elements at -0.287 eV per atom.

```
data_ErGa9Ir2
_chemical_formula_sum 'Er2 Ga18 Ir4'
_cell_length_a 6.722
_cell_length_b 8.319
_cell_length_c 8.387
_cell_angle_alpha 75.65
_cell_angle_beta 72.48
_cell_angle_gamma 72.33
_symmetry_space_group_name_H-M 'P 1'
_symmetry_Int_Tables_number 1
loop_
_symmetry_equiv_pos_as_xyz
'x,y,z'
loop_
_atom_site_label
_atom_site_type_symbol
_atom_site_fract_x
_atom_site_fract_y
_atom_site_fract_z
_atom_site_occupancy
Er1 Er 0.210 0.205 0.202 1
Er2 Er 0.790 0.795 0.798 1
Ga1 Ga 0.078 0.032 0.671 1
Ga2 Ga 0.079 0.668 0.035 1
Ga3 Ga 0.217 0.311 0.558 1
Ga4 Ga 0.218 0.561 0.311 1
Ga5 Ga 0.277 0.432 0.814 1
Ga6 Ga 0.278 0.818 0.430 1
Ga7 Ga 0.369 0.071 0.819 1
Ga8 Ga 0.369 0.820 0.071 1
Ga9 Ga 0.423 0.719 0.719 1
Ga10 Ga 0.577 0.281 0.281 1
Ga11 Ga 0.631 0.180 0.929 1
Ga12 Ga 0.631 0.929 0.181 1
Ga13 Ga 0.722 0.182 0.570 1
Ga14 Ga 0.723 0.568 0.186 1
Ga15 Ga 0.782 0.439 0.689 1
Ga16 Ga 0.783 0.689 0.442 1
Ga17 Ga 0.921 0.332 0.965 1
Ga18 Ga 0.922 0.968 0.329 1
Ir1 Ir 0.000 0.000 0.000 1
Ir2 Ir 0.500 0.000 0.500 1
Ir3 Ir 0.500 0.500 0.000 1
Ir4 Ir 0.500 0.500 0.500 1
```

=====

DFT (GGA-PBE) results for a geometry-optimized KNd2RuO5 structure.

Values from the calculation:
Its space group is P4/mbm (127). The total DFT energy (no corrections) is -7.256 eV per atom. Its total magnetization is 6.00 μB/cell. The formation energy without anion corrections is -2.2893 eV per atom.

```
data_KNd2RuO5
_chemical_formula_sum 'K2 Nd4 Ru2 O10'
_cell_length_a 6.887
_cell_length_b 6.887
_cell_length_c 5.852
_cell_angle_alpha 90.00
_cell_angle_beta 90.00
_cell_angle_gamma 90.00
_symmetry_space_group_name_H-M 'P 1'
_symmetry_Int_Tables_number 1
loop_
_symmetry_equiv_pos_as_xyz
'x,y,z'
loop_
_atom_site_label
_atom_site_type_symbol
_atom_site_fract_x
_atom_site_fract_y
_atom_site_fract_z
_atom_site_occupancy
K1 K 0.000 0.000 0.000 1
K2 K 0.500 0.500 0.000 1
Nd1 Nd 0.178 0.322 0.500 1
Nd2 Nd 0.322 0.822 0.500 1
Nd3 Nd 0.678 0.178 0.500 1
Nd4 Nd 0.822 0.678 0.500 1
Ru1 Ru 0.000 0.500 0.000 1
Ru2 Ru 0.500 0.000 0.000 1
O1 O 0.000 0.000 0.500 1
O2 O 0.133 0.633 0.250 1
O3 O 0.133 0.633 0.750 1
O4 O 0.367 0.133 0.250 1
O5 O 0.367 0.133 0.750 1
O6 O 0.500 0.500 0.500 1
O7 O 0.633 0.867 0.250 1
O8 O 0.633 0.867 0.750 1
O9 O 0.867 0.367 0.250 1
O10 O 0.867 0.367 0.750 1
```

=====

DFT (GGA-PBE) results for a geometry-optimized DySiHIr2 structure.

Values from the calculation:
Its space group is Cmcm (63). The total DFT energy (no corrections) is -6.969 eV per atom. Its total magnetization is 0.00 μB/cell.

```
data_DySiHIr2
_chemical_formula_sum 'Dy2 Si2 H2 Ir4'
_cell_length_a 5.666
_cell_length_b 5.666
_cell_length_c 7.114
_cell_angle_alpha 90.00
_cell_angle_beta 90.00
_cell_angle_gamma 140.52
_symmetry_space_group_name_H-M 'P 1'
_symmetry_Int_Tables_number 1
loop_
_symmetry_equiv_pos_as_xyz
'x,y,z'
loop_
_atom_site_label
_atom_site_type_symbol
_atom_site_fract_x
_atom_site_fract_y
_atom_site_fract_z
_atom_site_occupancy
Dy1 Dy 0.057 0.943 0.750 1
Dy2 Dy 0.943 0.057 0.250 1
Si1 Si 0.223 0.777 0.250 1
Si2 Si 0.777 0.223 0.750 1
H1 H 0.500 0.500 0.000 1
H2 H 0.500 0.500 0.500 1
Ir1 Ir 0.340 0.660 0.554 1
Ir2 Ir 0.340 0.660 0.946 1
Ir3 Ir 0.660 0.340 0.054 1
Ir4 Ir 0.660 0.340 0.446 1
```

=====

| no. | calculated density (Mg/m³) |
| --- | --- |
| 1 | 12.197 |
| 2 | 1.769 |
| 3 | 3.774 |
| 4 | 9.329 |
| 5 | 6.087 |
| 6 | 13.173 |